Density functional theory data (PBE-GGA) for KCrInCl4 after structural relaxation.

Cell: 6.0447 7.5714 9.5730 Å, 90.00 112.95 90.00°
Last column: magnetic moment on the atom in μB.
Fractional positions:
K (0.7530, 0.7500, 0.9498)  0.00
K (0.2470, 0.2500, 0.0502)  0.00
Cr (0.3219, 0.7500, 0.3314)  3.55
Cr (0.6781, 0.2500, 0.6686)  3.55
In (0.8281, 0.7500, 0.5075)  0.00
In (0.1719, 0.2500, 0.4925)  0.00
Cl (0.9492, 0.5033, 0.7432)  0.00
Cl (0.0508, 0.0033, 0.2568)  0.00
Cl (0.0508, 0.4967, 0.2568)  0.00
Cl (0.9492, 0.9967, 0.7432)  0.00
Cl (0.3716, 0.7500, 0.1034)  0.00
Cl (0.6284, 0.2500, 0.8966)  0.00
Cl (0.3188, 0.7500, 0.5787)  -0.01
Cl (0.6812, 0.2500, 0.4213)  -0.01

## Properties
The total DFT energy (no corrections) is -4.142 eV/atom. The space group is P2_1/m. As for the crystal system: monoclinic. Its calculated volume is 28.8 A^3/atom.